The following is a DFT calculation (PBE with a Hubbard U) of an optimized crystal structure of PuMnO5.

As for the energy: -59.9 eV/f.u. Its magnetization is 0.71 μB/atom.

Lattice parameters (Å, degrees): 3.6677 6.3730 8.3828 90.00 90.00 90.00
Space group Immm (No. 71)
Asymmetric unit:
Pu: 0.0000 0.0000 0.0000 x2
Mn: 0.0000 0.0000 0.5000 x2
O: 0.0000 0.0000 0.2159 x4
O: 0.0000 0.3017 0.5000 x4
O: 0.0000 0.5000 0.0000 x2